[1]
Crystalline Pm2GaPd6 at its relaxed geometry. Source: Alexandria via LeMat-Bulk, functional PBE-GGA.

```
data_Pm2GaPd6
_symmetry_space_group_name_H-M 'I m m m'
_symmetry_Int_Tables_number 71
_symmetry_space_group_name_Hall '-I 2 2'
_cell_length_a 3.780
_cell_length_b 7.737
_cell_length_c 12.701
_cell_angle_alpha 90.00
_cell_angle_beta 90.00
_cell_angle_gamma 90.00
loop_
_atom_site_label
_atom_site_type_symbol
_atom_site_fract_x
_atom_site_fract_y
_atom_site_fract_z
Pm1 Pm 0.000 0.000 0.151
Ga1 Ga 0.000 0.000 0.500
Pd1 Pd 0.000 0.208 0.336
Pd2 Pd 0.000 0.287 0.000
```

Total moment ... 0.00 μB per atom
Relative energy among the computed polymorphs ... 273.6 meV/atom


[2]
Crystalline Pm2Ga3Pd at its relaxed geometry. Source: Alexandria via LeMat-Bulk, functional PBE-GGA.

```
data_Pm2Ga3Pd
_symmetry_space_group_name_H-M 'C 1 m 1'
_symmetry_Int_Tables_number 8
_cell_length_a 10.512
_cell_length_b 4.511
_cell_length_c 7.391
_cell_angle_alpha 90.00
_cell_angle_beta 132.94
_cell_angle_gamma 90.00
loop_
_symmetry_equiv_pos_as_xyz
'x,y,z'
'x,-y,z'
'x+1/2,y+1/2,z'
'x+1/2,-y+1/2,z'
loop_
_atom_site_label
_atom_site_type_symbol
_atom_site_fract_x
_atom_site_fract_y
_atom_site_fract_z
Pm1 Pm 0.000 0.000 0.000
Pm2 Pm 0.087 0.000 0.595
Ga1 Ga 0.208 0.500 0.398
Ga2 Ga 0.380 0.000 0.191
Ga3 Ga 0.387 0.000 0.592
Pd1 Pd 0.211 0.500 0.017
```

Total moment ... 0.00 μB per atom
Relative energy among the computed polymorphs ... 0.0 meV/atom


[3]
Crystalline Pm3Ga5Pd6 at its relaxed geometry. Source: Alexandria via LeMat-Bulk, functional PBE-GGA.

```
data_Pm3Ga5Pd6
_symmetry_space_group_name_H-M 'P m m n'
_symmetry_Int_Tables_number 59
_cell_length_a 4.404
_cell_length_b 13.242
_cell_length_c 9.076
_cell_angle_alpha 90.00
_cell_angle_beta 90.00
_cell_angle_gamma 90.00
loop_
_symmetry_equiv_pos_as_xyz
'x,y,z'
'-x,-y,-z'
'-x+1/2,-y+1/2,z'
'x+1/2,y+1/2,-z'
'x+1/2,-y,-z'
'-x+1/2,y,z'
'-x,y+1/2,-z'
'x,-y+1/2,z'
loop_
_atom_site_label
_atom_site_type_symbol
_atom_site_fract_x
_atom_site_fract_y
_atom_site_fract_z
Pm1 Pm 0.250 0.055 0.246
Pm2 Pm 0.250 0.750 0.241
Ga1 Ga 0.250 0.085 0.889
Ga2 Ga 0.250 0.627 0.529
Ga3 Ga 0.250 0.750 0.768
Pd1 Pd 0.250 0.069 0.605
Pd2 Pd 0.250 0.250 0.048
Pd3 Pd 0.250 0.250 0.433
Pd4 Pd 0.250 0.613 0.974
```

Total moment ... 0.00 μB per atom


[4]
Crystalline PmGa3Pd5 at its relaxed geometry. Source: Alexandria via LeMat-Bulk, functional PBE-GGA.

```
data_PmGa3Pd5
_symmetry_space_group_name_H-M 'C m c m'
_symmetry_Int_Tables_number 63
_symmetry_space_group_name_Hall '-C 2c 2'
_cell_length_a 3.876
_cell_length_b 13.166
_cell_length_c 13.023
_cell_angle_alpha 90.00
_cell_angle_beta 90.00
_cell_angle_gamma 90.00
loop_
_atom_site_label
_atom_site_type_symbol
_atom_site_fract_x
_atom_site_fract_y
_atom_site_fract_z
Pm1 Pm 0.000 0.125 0.250
Ga1 Ga 0.000 0.127 0.750
Ga2 Ga 0.000 0.380 0.540
Pd1 Pd 0.000 0.000 0.000
Pd2 Pd 0.000 0.199 0.572
Pd3 Pd 0.000 0.455 0.147
```

Total moment ... 0.00 μB per atom


[5]
Crystalline Pm6Ga5Pd at its relaxed geometry. Source: Alexandria via LeMat-Bulk, functional PBE-GGA.

```
data_Pm6Ga5Pd
_symmetry_space_group_name_H-M 'C m m m'
_symmetry_Int_Tables_number 65
_symmetry_space_group_name_Hall '-C 2 2'
_cell_length_a 5.125
_cell_length_b 15.434
_cell_length_c 7.471
_cell_angle_alpha 90.00
_cell_angle_beta 90.00
_cell_angle_gamma 90.00
loop_
_atom_site_label
_atom_site_type_symbol
_atom_site_fract_x
_atom_site_fract_y
_atom_site_fract_z
Pm1 Pm 0.000 0.000 0.247
Pm2 Pm 0.000 0.335 0.249
Ga1 Ga 0.000 0.167 0.000
Ga2 Ga 0.000 0.168 0.500
Ga3 Ga 0.000 0.500 0.500
Pd1 Pd 0.000 0.500 0.000
```

Total moment ... 0.00 μB per atom


[6]
Crystalline PmGa9Pd2 at its relaxed geometry. Source: Alexandria via LeMat-Bulk, functional PBE-GGA.

```
data_PmGa9Pd2
_symmetry_space_group_name_H-M 'I 41/a m d'
_symmetry_Int_Tables_number 141
_cell_length_a 11.522
_cell_length_b 11.522
_cell_length_c 6.616
_cell_angle_alpha 90.00
_cell_angle_beta 90.00
_cell_angle_gamma 90.00
loop_
_symmetry_equiv_pos_as_xyz
'x,y,z'
'-x,-y,-z'
'-y+1/4,x+3/4,z+1/4'
'y+1/4,-x+3/4,-z+1/4'
'-x+1/2,-y,z+1/2'
'x+1/2,y,-z+1/2'
'y+1/4,-x+1/4,z+3/4'
'-y+1/4,x+1/4,-z+3/4'
'x,-y,-z'
'-x,y,z'
'-y+1/4,-x+1/4,-z+3/4'
'y+1/4,x+1/4,z+3/4'
'-x+1/2,y,-z+1/2'
'x+1/2,-y,z+1/2'
'y+1/4,x+3/4,-z+1/4'
'-y+1/4,-x+3/4,z+1/4'
'x+1/2,y+1/2,z+1/2'
'-x+1/2,-y+1/2,-z+1/2'
'-y+3/4,x+1/4,z+3/4'
'y+3/4,-x+1/4,-z+3/4'
'-x,-y+1/2,z'
'x,y+1/2,-z'
'y+3/4,-x+3/4,z+1/4'
'-y+3/4,x+3/4,-z+1/4'
'x+1/2,-y+1/2,-z+1/2'
'-x+1/2,y+1/2,z+1/2'
'-y+3/4,-x+3/4,-z+1/4'
'y+3/4,x+3/4,z+1/4'
'-x,y+1/2,-z'
'x,-y+1/2,z'
'y+3/4,x+1/4,-z+3/4'
'-y+3/4,-x+1/4,z+3/4'
loop_
_atom_site_label
_atom_site_type_symbol
_atom_site_fract_x
_atom_site_fract_y
_atom_site_fract_z
Pm1 Pm 0.000 0.250 0.375
Ga1 Ga 0.000 0.250 0.875
Ga2 Ga 0.120 0.062 0.670
Pd1 Pd 0.000 0.000 0.000
```

Total moment ... 0.00 μB per atom


Q: Which E values were calculated for the entries above? A: -96.68; -56.61; -143.65; -182.51; -111.35; -185.57, in eV per cell.